# LiAl2CuS4 GGA-PBE relaxed
# **Volume**: 306.58 Å³/cell
# **Final energy**: -4.75 eV/atom
data_LiAl2CuS4
_cell_length_a 5.4210
_cell_length_b 5.4210
_cell_length_c 10.4326
_cell_angle_alpha 90.00
_cell_angle_beta 90.00
_cell_angle_gamma 90.00
_space_group_name_H-M_alt 'I -4'
_space_group_IT_number 82
loop_
_space_group_symop_operation_xyz
'x,y,z'
'y,-x,-z'
'-x,-y,z'
'-y,x,-z'
'x+1/2,y+1/2,z+1/2'
'y+1/2,-x+1/2,-z+1/2'
'-x+1/2,-y+1/2,z+1/2'
'-y+1/2,x+1/2,-z+1/2'
loop_
_atom_site_label
_atom_site_fract_x
_atom_site_fract_y
_atom_site_fract_z
Li1 0.0000 0.0000 0.0000
Al1 0.0000 0.0000 0.5000
Al2 0.0000 0.5000 0.7500
Cu1 0.0000 0.5000 0.2500
S1 0.2353 0.7549 0.6273